Compound: BaIn2GaHg
Source: Alexandria via LeMat-Bulk
Functional: GGA-PBE
Structure: optimized geometry

Values from the calculation:
Offset from the most stable computed form in meV per atom: 0
Energy relative to the elements in eV/atom: -0.361
Space group: Imm2

a = 4.9113 Å, b = 4.8753 Å, c = 6.9626 Å
α = 110.49°, β = 110.65°, γ = 90.00°
Element x y z (fractional)
In  0.0605  0.0605  0.1211
In  0.6936  0.1936  0.3872
Hg  0.8248  0.8248  0.6495
Ga  0.1954  0.6954  0.3909
Ba  0.4378  0.4378  0.8756